# Al4Fe3

An optimized crystal structure of Al4Fe3 (PBE, Alexandria via LeMat-Bulk).

Cell: 10.0654 10.0654 10.0654 Å, 162.78 162.78 24.45°
Closest atoms and distances in Å follow each position.
Element x y z (fractional)
Al 0.0661 0.0661 0.0000  4 Fe 2.50, 5 Al 2.60-2.71
Al 0.3489 0.3489 0.0000  5 Fe 2.48-2.62, 4 Al 2.71
Al 0.6511 0.6511 0.0000  5 Fe 2.48-2.62, 4 Al 2.71
Al 0.9339 0.9339 0.0000  4 Fe 2.50, 5 Al 2.60-2.71
Fe 0.2157 0.2157 0.0000  5 Al 2.48-2.62, 4 Fe 2.52
Fe 0.5000 0.5000 0.0000  8 Al 2.50
Fe 0.7843 0.7843 0.0000  5 Al 2.48-2.62, 4 Fe 2.52

Its size of the total moment is 3.27 μB/cell. The value obtained for the distance to the lowest polymorph of the same formula is 0.0 kJ/mol of atoms. The theoretical density comes out at 5.119 Mg/m³. The total energy is -42.28 eV for the cell shown. The value obtained for the energy of formation from the pure elements is -0.2740 eV/atom.